Computed, not measured: a relaxed structure of Nd2Ga5Cu3 at the PBE-GGA level of DFT.

Its formation enthalpy at 0 K is -0.502 eV per atom. Its crystal system is orthorhombic.

The structure belongs to space group Ibam (No. 72); the cell edges are 10.213, 12.012 and 5.994 Å and the angles 90.00°, 90.00° and 90.00°. The asymmetric unit holds Nd at (0.240, 0.129, 0.000), Ga at (0.000, 0.000, 0.250), Ga at (0.000, 0.263, 0.250), Ga at (0.148, 0.389, 0.000), Cu at (0.000, 0.500, 0.250) and Cu at (0.117, 0.131, 0.500).

Computed, not measured: a relaxed structure of Nd2Ga5Cu3 at the PBE-GGA level of DFT.

Its formation enthalpy at 0 K is -0.414 eV per atom. Its crystal system is tetragonal.

The structure belongs to space group P-4m2 (No. 115); the cell edges are 4.313, 4.313 and 10.102 Å and the angles 90.00°, 90.00° and 90.00°. The asymmetric unit holds Nd at (0.000, 0.500, 0.234), Ga at (0.000, 0.000, 0.500), Ga at (0.000, 0.500, 0.653), Ga at (0.500, 0.500, 0.000), Ga at (0.500, 0.500, 0.500), Cu at (0.000, 0.000, 0.000) and Cu at (0.000, 0.500, 0.888).

Computed, not measured: a relaxed structure of NdGa2Cu6 at the PBE-GGA level of DFT.

Its formation enthalpy at 0 K is -0.020 eV per atom. Its crystal system is orthorhombic.

The structure belongs to space group Immm (No. 71); the cell edges are 3.910, 6.404 and 11.808 Å and the angles 90.00°, 90.00° and 90.00°. The asymmetric unit holds Nd at (0.000, 0.000, 0.000), Ga at (0.000, 0.500, 0.127), Cu at (0.000, 0.178, 0.500) and Cu at (0.000, 0.298, 0.308).

Computed, not measured: a relaxed structure of Nd5Ga5Cu2 at the PBE-GGA level of DFT.

Its formation enthalpy at 0 K is -0.460 eV per atom. Its crystal system is monoclinic.

The structure belongs to space group C2/m (No. 12); the cell edges are 15.501, 4.239 and 11.472 Å and the angles 90.00°, 130.25° and 90.00°. The asymmetric unit holds Nd at (0.000, 0.000, 0.000), Nd at (0.129, 0.500, 0.816), Nd at (0.205, 0.500, 0.592), Ga at (0.000, 0.000, 0.500), Ga at (0.065, 0.000, 0.335), Ga at (0.194, 0.500, 0.133) and Cu at (0.098, 0.500, 0.249).

Computed, not measured: a relaxed structure of Nd2Ga5Cu3 at the PBE-GGA level of DFT.

Its formation enthalpy at 0 K is -0.470 eV per atom. Its crystal system is tetragonal.

The structure belongs to space group P-4m2 (No. 115); the cell edges are 4.221, 4.221 and 10.388 Å and the angles 90.00°, 90.00° and 90.00°. The asymmetric unit holds Nd at (0.000, 0.500, 0.243), Ga at (0.000, 0.000, 0.500), Ga at (0.000, 0.500, 0.638), Ga at (0.000, 0.500, 0.879), Cu at (0.000, 0.000, 0.000), Cu at (0.500, 0.500, 0.000) and Cu at (0.500, 0.500, 0.500).

Computed, not measured: a relaxed structure of NdGa2Cu10 at the PBE-GGA level of DFT.

Its formation enthalpy at 0 K is -0.106 eV per atom. Its crystal system is orthorhombic.

The structure belongs to space group Fmmm (No. 69); the cell edges are 4.929, 12.066 and 12.372 Å and the angles 90.00°, 90.00° and 90.00°. The asymmetric unit holds Nd at (0.000, 0.000, 0.000), Ga at (0.250, 0.000, 0.250), Cu at (0.000, 0.113, 0.390), Cu at (0.000, 0.181, 0.175) and Cu at (0.250, 0.250, 0.000).

Computed, not measured: a relaxed structure of Nd2Ga5Cu4 at the PBE-GGA level of DFT.

Its formation enthalpy at 0 K is -0.361 eV per atom. Its crystal system is orthorhombic.

The structure belongs to space group Fmmm (No. 69); the cell edges are 5.641, 9.420 and 14.995 Å and the angles 90.00°, 90.00° and 90.00°. The asymmetric unit holds Nd at (0.000, 0.000, 0.136), Ga at (0.000, 0.000, 0.500), Ga at (0.250, 0.250, 0.000), Ga at (0.250, 0.250, 0.250) and Cu at (0.000, 0.139, 0.363).

Computed, not measured: a relaxed structure of NdGa2Cu3 at the PBE-GGA level of DFT.

Its formation enthalpy at 0 K is -0.329 eV per atom. Its crystal system is hexagonal.

The structure belongs to space group P6_3/mmc (No. 194); the cell edges are 4.1856, 4.1856 and 13.6103 Å and the angles 90.00°, 90.00° and 120.00°. The asymmetric unit holds Nd at (0.0000, 0.0000, 0.2500), Ga at (0.3333, 0.6667, 0.1070), Cu at (0.0000, 0.0000, 0.0000) and Cu at (0.3333, 0.6667, 0.5781).

Computed, not measured: a relaxed structure of Nd2Ga2Cu15 at the PBE-GGA level of DFT.

Its formation enthalpy at 0 K is -0.139 eV per atom. Its crystal system is trigonal.

The structure belongs to space group R-3m (No. 166, hexagonal axes); the cell edges are 8.6915, 8.6915 and 12.6917 Å and the angles 90.00°, 90.00° and 120.00°. The asymmetric unit holds Nd at (0.0000, 0.0000, 0.1516), Ga at (0.0000, 0.0000, 0.3974), Cu at (0.0000, 0.2985, 0.5000), Cu at (0.0000, 0.5000, 0.0000) and Cu at (0.0007, 0.5004, 0.3464).

Computed, not measured: a relaxed structure of Nd3Ga7Cu2 at the PBE-GGA level of DFT.

Its formation enthalpy at 0 K is -0.518 eV per atom. Its crystal system is monoclinic.

The structure belongs to space group P2/m (No. 10); the cell edges are 4.288, 4.304 and 13.359 Å and the angles 90.00°, 99.16° and 90.00°. The asymmetric unit holds Nd at (0.000, 0.000, 0.000), Nd at (0.316, 0.500, 0.633), Ga at (0.085, 0.500, 0.171), Ga at (0.224, 0.000, 0.448), Ga at (0.414, 0.000, 0.829), Ga at (0.500, 0.500, 0.000) and Cu at (0.132, 0.000, 0.264).

Computed, not measured: a relaxed structure of Nd12GaCu6 at the PBE-GGA level of DFT.

Its formation enthalpy at 0 K is -0.113 eV per atom. Its crystal system is cubic.

The structure belongs to space group Im-3 (No. 204); the cell edges are 10.149, 10.149 and 10.149 Å and the angles 90.00°, 90.00° and 90.00°. The asymmetric unit holds Nd at (0.000, 0.295, 0.187), Ga at (0.000, 0.000, 0.000) and Cu at (0.000, 0.122, 0.500).

Computed, not measured: a relaxed structure of NdGa2Cu9 at the PBE-GGA level of DFT.

Its formation enthalpy at 0 K is -0.109 eV per atom. Its crystal system is trigonal.

The structure belongs to space group R-3m (No. 166, hexagonal axes); the cell edges are 5.0082, 5.0082 and 24.0243 Å and the angles 90.00°, 90.00° and 120.00°. The asymmetric unit holds Nd at (0.0000, 0.0000, 0.0000), Ga at (0.0000, 0.0000, 0.1426), Cu at (0.0000, 0.0000, 0.3340), Cu at (0.0000, 0.0000, 0.5000) and Cu at (0.0061, 0.5030, 0.9133).

Computed, not measured: a relaxed structure of Nd6Ga2Cu at the PBE-GGA level of DFT.

Its formation enthalpy at 0 K is -0.121 eV per atom. Its crystal system is monoclinic.

The structure belongs to space group C2/m (No. 12); the cell edges are 15.914, 7.245 and 5.069 Å and the angles 90.00°, 108.51° and 90.00°. The asymmetric unit holds Nd at (0.000, 0.243, 0.000), Nd at (0.163, 0.247, 0.663), Ga at (0.167, 0.500, 0.167) and Cu at (0.000, 0.000, 0.500).

Computed, not measured: a relaxed structure of Nd2GaCu6 at the PBE-GGA level of DFT.

Its formation enthalpy at 0 K is -0.199 eV per atom. Its crystal system is trigonal.

The structure belongs to space group P-3m1 (No. 164); the cell edges are 5.5393, 5.5393 and 5.7858 Å and the angles 90.00°, 90.00° and 120.00°. The asymmetric unit holds Nd at (0.3333, 0.6667, 0.1580), Ga at (0.0000, 0.0000, 0.0000) and Cu at (0.1788, 0.3575, 0.6568).

Computed, not measured: a relaxed structure of Nd4Ga3Cu at the PBE-GGA level of DFT.

Its formation enthalpy at 0 K is -0.455 eV per atom. Its crystal system is orthorhombic.

The structure belongs to space group Pmm2 (No. 25); the cell edges are 4.267, 4.445 and 10.873 Å and the angles 90.00°, 90.00° and 90.00°. The asymmetric unit holds Nd at (0.000, 0.000, 0.000), Nd at (0.000, 0.500, 0.482), Nd at (0.500, 0.000, 0.703), Nd at (0.500, 0.500, 0.208), Ga at (0.000, 0.500, 0.775), Ga at (0.500, 0.000, 0.411), Ga at (0.500, 0.500, 0.922) and Cu at (0.000, 0.000, 0.286).

Computed, not measured: a relaxed structure of Nd2Ga4Cu5 at the PBE-GGA level of DFT.

Its formation enthalpy at 0 K is -0.310 eV per atom. Its crystal system is orthorhombic.

The structure belongs to space group Fmmm (No. 69); the cell edges are 5.569, 9.567 and 14.746 Å and the angles 90.00°, 90.00° and 90.00°. The asymmetric unit holds Nd at (0.000, 0.000, 0.139), Ga at (0.000, 0.154, 0.370), Cu at (0.000, 0.000, 0.500), Cu at (0.250, 0.250, 0.000) and Cu at (0.250, 0.250, 0.250).

Computed, not measured: a relaxed structure of NdGa2Cu9 at the PBE-GGA level of DFT.

Its formation enthalpy at 0 K is -0.164 eV per atom. Its crystal system is tetragonal.

The structure belongs to space group I4_1/amd (No. 141, origin choice 2); the cell edges are 10.191, 10.191 and 6.641 Å and the angles 90.00°, 90.00° and 90.00°. The asymmetric unit holds Nd at (0.000, 0.250, 0.375), Ga at (0.000, 0.000, 0.000), Cu at (0.000, 0.250, 0.875) and Cu at (0.123, 0.041, 0.682).

Computed, not measured: a relaxed structure of Nd3GaCu2 at the PBE-GGA level of DFT.

Its formation enthalpy at 0 K is -0.274 eV per atom. Its crystal system is tetragonal.

The structure belongs to space group P4/mmm (No. 123); the cell edges are 3.598, 3.598 and 11.074 Å and the angles 90.00°, 90.00° and 90.00°. The asymmetric unit holds Nd at (0.000, 0.000, 0.000), Nd at (0.000, 0.000, 0.327), Ga at (0.500, 0.500, 0.500) and Cu at (0.500, 0.500, 0.161).

Computed, not measured: a relaxed structure of NdGa6Cu6 at the PBE-GGA level of DFT.

Its formation enthalpy at 0 K is -0.291 eV per atom. Its crystal system is orthorhombic.

The structure belongs to space group Immm (No. 71); the cell edges are 5.179, 8.636 and 8.789 Å and the angles 90.00°, 90.00° and 90.00°. The asymmetric unit holds Nd at (0.000, 0.000, 0.000), Ga at (0.000, 0.000, 0.350), Ga at (0.000, 0.348, 0.000), Ga at (0.000, 0.500, 0.300), Cu at (0.000, 0.267, 0.500) and Cu at (0.250, 0.250, 0.250).

Computed, not measured: a relaxed structure of NdGa6Cu2 at the PBE-GGA level of DFT.

Its formation enthalpy at 0 K is 0.077 eV per atom. Its crystal system is cubic.

The structure belongs to space group Fd-3m (No. 227, origin choice 2); the cell edges are 11.684, 11.684 and 11.684 Å and the angles 90.00°, 90.00° and 90.00°. The asymmetric unit holds Nd at (0.125, 0.125, 0.125), Ga at (0.114, 0.375, 0.875) and Cu at (0.000, 0.000, 0.500).